1.
A plane-wave DFT calculation with PBE was carried out for an optimized crystal structure of Ce2ZnGa5.

Summary:
* volume: 163.5 Å³/cell
* energy relative to the elements: -0.44 eV per atom

Geometry as extended XYZ:
```
8
Lattice="6.1298 -0.0140 -0.0200 -3.0301 5.3285 0.0200 -3.0301 -1.7938 5.0175" Properties=species:S:1:pos:R:3 pbc="T T T"
Ce -0.1272 0.0742 3.8927
Ce -0.1272 3.6353 1.3940
Zn -4.7888 2.7931 3.9806
Ga -1.6612 2.7269 3.8863
Ga -3.1914 3.6194 1.4192
Ga -3.1914 0.1033 3.8863
Ga 1.4082 0.9818 1.3992
Ga -1.6486 0.9615 1.3703
```

2.
A plane-wave DFT calculation with PBE was carried out for an optimized crystal structure of CeZn9Ga3.

Summary:
* volume: 218.6 Å³/cell
* energy relative to the elements: -0.13 eV per atom

Geometry as extended XYZ:
```
13
Lattice="0.1685 -3.4147 4.4247 -5.6674 -3.8896 0.8796 2.5922 -6.1603 -1.3197" Properties=species:S:1:pos:R:3 pbc="T T T"
Ce 0.0000 0.0000 0.0000
Zn -2.2804 -10.3415 2.8370
Zn -0.6264 -3.1231 1.1476
Zn 0.8893 -7.3721 1.3439
Zn -3.7961 -6.0925 2.6407
Zn -1.0032 -5.8237 2.7514
Zn -1.9035 -7.6409 1.2332
Zn -2.5468 -8.0564 4.4702
Zn -0.3599 -5.4082 -0.4856
Zn -2.8337 -1.9448 0.4398
Ga -2.7495 -3.6521 2.6521
Ga 1.2961 -3.0802 -0.6599
Ga 1.3803 -4.7875 1.5525
```

3.
A plane-wave DFT calculation with PBE was carried out for an optimized crystal structure of Ce3Zn5Ga2.

Summary:
* volume: 423.1 Å³/cell
* energy relative to the elements: -0.24 eV per atom

Geometry as extended XYZ:
```
20
Lattice="6.0525 0.0000 0.0000 3.0262 8.4014 -0.4628 3.0262 1.7833 8.2230" Properties=species:S:1:pos:R:3 pbc="T T T"
Ce 1.5131 0.0000 0.0000
Ce 4.5393 0.0000 0.0000
Ce 6.0525 4.8899 6.7651
Ce 6.0525 5.2948 0.9951
Ce 9.0787 7.8202 2.9193
Ce 3.0262 2.3645 4.8409
Zn 4.5393 5.0924 3.8801
Zn 7.5656 5.0924 3.8801
Zn 7.5656 7.7556 5.9094
Zn 1.5131 2.4291 1.8509
Zn 4.5393 2.4291 1.8509
Zn 10.5918 7.7556 5.9094
Zn 3.0262 4.5151 1.9407
Zn 9.0787 5.6696 5.8196
Zn 6.0524 3.0693 3.8383
Zn 6.0525 7.1155 3.9220
Ga 3.0262 5.8953 -0.0715
Ga 9.0787 4.2894 7.8317
Ga 6.0525 1.4955 5.7029
Ga 6.0524 8.6892 2.0573
```

4.
A plane-wave DFT calculation with PBE was carried out for an optimized crystal structure of Ce5Zn2Ga5.

Summary:
* volume: 267.3 Å³/cell
* energy relative to the elements: -0.42 eV per atom

Geometry as extended XYZ:
```
12
Lattice="-1.6661 -0.1237 4.3148 -7.9686 -1.2469 -0.6319 -1.2935 -7.6876 1.7609" Properties=species:S:1:pos:R:3 pbc="T T T"
Ce -5.4641 -4.5291 2.7219
Ce -4.2485 -7.5192 3.1056
Ce -1.0954 -2.6820 1.9810
Ce -9.8328 -6.3763 3.4629
Ce -6.6798 -1.5390 2.3383
Zn -6.9011 -6.4304 4.5934
Zn -4.0271 -2.6279 0.8505
Ga -8.0211 -3.7127 4.2388
Ga -7.2248 -7.0050 1.9711
Ga -3.7035 -2.0532 3.4728
Ga -2.9072 -5.3455 1.2050
Ga 0.0000 0.0000 0.0000
```

5.
A plane-wave DFT calculation with PBE was carried out for an optimized crystal structure of Ce2ZnGa8.

Summary:
* volume: 220.3 Å³/cell
* energy relative to the elements: -0.37 eV per atom

Geometry as extended XYZ:
```
11
Lattice="4.4331 0.0000 0.0000 0.0000 4.4331 0.0000 0.0000 0.0000 11.2093" Properties=species:S:1:pos:R:3 pbc="T T T"
Ce 0.0000 0.0000 3.4669
Ce 0.0000 0.0000 7.7424
Zn 0.0000 0.0000 0.0000
Ga 0.0000 2.2165 5.6047
Ga 2.2165 0.0000 5.6047
Ga 2.2165 2.2165 3.4602
Ga 2.2165 2.2165 7.7491
Ga 0.0000 2.2165 1.4131
Ga 2.2165 0.0000 1.4131
Ga 0.0000 2.2165 9.7962
Ga 2.2165 0.0000 9.7962
```

6.
A plane-wave DFT calculation with PBE was carried out for an optimized crystal structure of Ce2ZnGa.

Summary:
* volume: 88.5 Å³/cell
* energy relative to the elements: -0.35 eV per atom

Geometry as extended XYZ:
```
4
Lattice="-4.3558 -0.0799 -0.7652 -0.0287 -4.4301 0.6258 -0.7777 0.6213 4.3621" Properties=species:S:1:pos:R:3 pbc="T T T"
Zn -2.1779 -0.0400 -0.3826
Ga -2.5811 -1.9444 2.1113
Ce -0.3889 0.3106 2.1810
Ce -0.0143 -2.2151 0.3129
```

7.
A plane-wave DFT calculation with PBE was carried out for an optimized crystal structure of CeZn2Ga.

Summary:
* volume: 81.1 Å³/cell
* energy relative to the elements: -0.17 eV per atom

Geometry as extended XYZ:
```
4
Lattice="-0.7881 -0.6607 -2.8014 -1.4153 -5.2299 1.6317 -3.7249 4.2591 0.0433" Properties=species:S:1:pos:R:3 pbc="T T T"
Ce -1.5422 -4.7083 1.5444
Zn -3.7988 -2.9087 0.1652
Zn -1.2288 -2.4233 -0.6722
Ga -3.0912 -0.2936 -0.6506
```

8.
A plane-wave DFT calculation with PBE was carried out for an optimized crystal structure of CeZn12Ga6.

Summary:
* volume: 344.9 Å³/cell
* energy relative to the elements: 0.03 eV per atom

Geometry as extended XYZ:
```
19
Lattice="-1.2309 6.4676 -2.9292 -6.6803 -2.5475 0.8994 1.8788 1.7264 6.7391" Properties=species:S:1:pos:R:3 pbc="T T T"
Ce 0.0000 0.0000 0.0000
Zn -0.8779 6.3607 0.8523
Zn -4.0882 5.1072 2.2543
Zn -3.3391 3.9650 4.5835
Zn -0.6314 2.7111 1.5326
Zn -2.6934 1.6815 0.1257
Zn -1.9442 0.5393 2.4550
Zn -1.7960 0.9628 6.1484
Zn -6.3748 1.1462 0.0632
Zn -5.1545 -0.7142 3.8569
Zn -4.2364 4.6837 -1.4392
Zn 0.3423 4.5003 4.6461
Zn -5.4011 2.9353 3.1766
Ga -2.2787 4.3526 0.1544
Ga -0.9801 2.3727 4.1918
Ga -4.5544 0.5880 1.7532
Ga -5.0523 3.2738 0.5174
Ga -3.7537 1.2939 4.5548
Ga -1.4781 5.0585 2.9560
```

9.
A plane-wave DFT calculation with PBE was carried out for an optimized crystal structure of Ce2Zn2Ga3.

Summary:
* energy relative to the lowest polymorph listed for this composition: 52.2 meV/atom
* volume: 142.4 Å³/cell
* energy relative to the elements: -0.42 eV per atom

Geometry as extended XYZ:
```
7
Lattice="-3.4160 -0.5169 -2.7148 2.4037 -4.9209 1.4681 -4.1241 1.9280 4.8222" Properties=species:S:1:pos:R:3 pbc="T T T"
Ce -2.1499 -3.4028 -0.2026
Ce -2.9865 -0.1070 3.7782
Zn -4.2680 -2.4433 2.2798
Zn -0.8684 -1.0665 1.2957
Ga -1.7080 -0.2585 -1.3574
Ga -3.3381 -0.4238 0.7252
Ga -1.7983 -3.0861 2.8503
```

10.
A plane-wave DFT calculation with PBE was carried out for an optimized crystal structure of Ce2Zn2Ga3.

Summary:
* energy relative to the lowest polymorph listed for this composition: 0.0 meV/atom
* volume: 290.5 Å³/cell
* energy relative to the elements: -0.47 eV per atom

Geometry as extended XYZ:
```
14
Lattice="4.3152 0.0000 -1.0288 0.0000 6.9679 0.0000 0.0217 0.0000 9.6554" Properties=species:S:1:pos:R:3 pbc="T T T"
Ce 0.6940 1.7420 2.9108
Ce 3.6429 5.2260 5.7158
Ce 4.1273 1.7420 7.7473
Ce 0.2096 5.2260 0.8793
Zn 2.9590 6.5211 2.8471
Zn 1.3779 0.4469 5.7796
Zn 1.3779 3.0371 5.7796
Zn 2.9590 3.9309 2.8471
Ga 0.9730 5.2260 4.0813
Ga 3.3639 1.7420 4.5454
Ga 2.4202 2.9872 0.5873
Ga 1.9167 3.9808 8.0393
Ga 1.9167 6.4712 8.0393
Ga 2.4202 0.4968 0.5873
```

11.
A plane-wave DFT calculation with PBE was carried out for an optimized crystal structure of CeZn2Ga2.

Summary:
* volume: 188.2 Å³/cell
* energy relative to the elements: -0.18 eV per atom

Geometry as extended XYZ:
```
10
Lattice="-2.3550 0.7987 -1.5683 -4.6887 -1.3898 6.3332 0.9791 7.5742 2.3870" Properties=species:S:1:pos:R:3 pbc="T T T"
Ce 0.0000 0.0000 0.0000
Ce -1.8548 3.0922 4.3601
Zn -1.9496 6.2897 3.3751
Zn -4.4704 4.2299 6.1115
Zn -4.1150 0.6933 3.7768
Zn -1.5943 2.7530 1.0404
Ga -3.7065 1.5759 6.3686
Ga -1.5916 0.4955 2.6425
Ga -0.0031 4.6084 2.3516
Ga -2.1180 5.6888 6.0777
```

12.
A plane-wave DFT calculation with PBE was carried out for an optimized crystal structure of Ce2ZnGa3.

Summary:
* volume: 256.8 Å³/cell
* energy relative to the elements: -0.51 eV per atom

Geometry as extended XYZ:
```
12
Lattice="5.7567 0.7512 0.0000 0.3950 5.7921 0.0000 -3.0758 -3.2716 7.7706" Properties=species:S:1:pos:R:3 pbc="T T T"
Ce 2.8784 0.3756 3.8853
Ce 4.4096 2.0176 0.0000
Ce 0.1975 2.8960 3.8853
Ce 1.7421 4.5256 0.0000
Zn 3.0759 3.2716 2.5946
Zn 0.0000 0.0000 5.1760
Ga 4.6118 4.9053 1.3038
Ga 1.5360 1.6337 6.4668
Ga -1.5360 -1.6337 6.4668
Ga 1.5399 1.6379 1.3038
Ga 0.0000 0.0000 2.5994
Ga 3.0758 3.2716 5.1712
```

13.
A plane-wave DFT calculation with PBE was carried out for an optimized crystal structure of Ce3Zn9Ga2.

Summary:
* volume: 264.8 Å³/cell
* energy relative to the elements: -0.30 eV per atom

Geometry as extended XYZ:
```
14
Lattice="-0.2835 4.3617 0.9285 -7.3477 1.0399 3.6232 0.4679 0.5683 8.2253" Properties=species:S:1:pos:R:3 pbc="T T T"
Ce 0.0000 0.0000 0.0000
Ce -2.2630 3.5354 4.2055
Ce -4.9003 2.4345 8.5715
Zn -3.4399 0.8041 5.9243
Zn -7.0465 4.2878 9.9623
Zn -0.1168 1.6821 2.8148
Zn -4.9151 4.1592 11.2173
Zn -2.2482 1.8107 1.5597
Zn -6.4006 4.8685 7.4316
Zn -0.7627 1.1014 5.3454
Zn -2.9669 4.6613 9.4536
Zn -4.1964 1.3086 3.3235
Ga -2.0390 2.8918 7.2969
Ga -5.1243 3.0780 5.4801
```

14.
A plane-wave DFT calculation with PBE was carried out for an optimized crystal structure of Ce2ZnGa.

Summary:
* volume: 95.3 Å³/cell
* energy relative to the elements: -0.32 eV per atom

Geometry as extended XYZ:
```
4
Lattice="3.6161 0.0000 0.0000 0.0000 3.6161 0.0000 0.0000 0.0000 7.2888" Properties=species:S:1:pos:R:3 pbc="T T T"
Zn 1.8080 1.8080 3.6444
Ga 1.8080 1.8080 0.0000
Ce 0.0000 0.0000 5.4648
Ce 0.0000 0.0000 1.8240
```

15.
A plane-wave DFT calculation with PBE was carried out for an optimized crystal structure of Ce2Zn6Ga.

Summary:
* volume: 169.7 Å³/cell
* energy relative to the elements: -0.28 eV per atom

Geometry as extended XYZ:
```
9
Lattice="5.7728 -0.0009 0.0018 0.0017 5.0463 -2.9099 -0.0016 -0.0030 5.8254" Properties=species:S:1:pos:R:3 pbc="T T T"
Ce 4.8871 3.3624 0.0033
Ce 0.8857 1.6800 2.9140
Zn 1.9647 1.8076 0.0017
Zn 1.9647 4.1396 1.3495
Zn 1.9655 4.1412 -1.3440
Zn 3.8081 3.2347 2.9157
Zn 3.8081 0.9028 1.5679
Zn 3.8073 0.9011 4.2613
Ga 0.0000 0.0000 0.0000
```

16.
A plane-wave DFT calculation with PBE was carried out for an optimized crystal structure of Ce6Zn2Ga.

Summary:
* energy relative to the lowest polymorph listed for this composition: 8.1 meV/atom
* volume: 215.6 Å³/cell
* energy relative to the elements: -0.15 eV per atom

Geometry as extended XYZ:
```
9
Lattice="3.2743 0.0000 0.0000 0.0000 8.7197 0.0000 0.0000 -4.3598 7.5515" Properties=species:S:1:pos:R:3 pbc="T T T"
Ce 0.0000 3.3465 0.0000
Ce 0.0000 -1.6732 2.8981
Ce 0.0000 2.6866 4.6533
Ce 1.6372 1.2835 2.2231
Ce 1.6372 -3.0763 5.3284
Ce 1.6372 6.1527 0.0000
Zn 1.6372 0.0000 5.0343
Zn 1.6372 4.3599 2.5172
Ga 0.0000 0.0000 0.0000
```

17.
A plane-wave DFT calculation with PBE was carried out for an optimized crystal structure of Ce4ZnGa.

Summary:
* volume: 130.9 Å³/cell
* energy relative to the elements: -0.19 eV per atom

Geometry as extended XYZ:
```
6
Lattice="3.7826 -3.9911 2.0914 -5.5656 -1.4694 -1.2150 4.4456 1.0449 -3.7089" Properties=species:S:1:pos:R:3 pbc="T T T"
Ce -2.4017 -1.0928 -1.9672
Ce 0.3814 -2.0893 -2.5143
Ce 5.0644 -3.3229 -0.8654
Ce 2.2813 -2.3264 -0.3183
Zn -0.8915 -2.7303 0.4382
Ga 0.0000 0.0000 0.0000
```

18.
A plane-wave DFT calculation with PBE was carried out for an optimized crystal structure of Ce2Zn5Ga3.

Summary:
* volume: 191.1 Å³/cell
* energy relative to the elements: -0.37 eV per atom

Geometry as extended XYZ:
```
10
Lattice="4.2667 0.0000 0.0000 0.0000 4.2667 0.0000 0.0000 0.0000 10.4982" Properties=species:S:1:pos:R:3 pbc="T T T"
Ce 2.1333 0.0000 2.6019
Ce 0.0000 2.1333 7.8963
Zn 2.1333 2.1333 0.0000
Zn 0.0000 0.0000 0.0000
Zn 2.1333 0.0000 9.1632
Zn 0.0000 2.1333 1.3350
Zn 2.1333 2.1333 5.2491
Ga 2.1333 0.0000 6.7314
Ga 0.0000 2.1333 3.7668
Ga 0.0000 0.0000 5.2491
```

19.
A plane-wave DFT calculation with PBE was carried out for an optimized crystal structure of Ce4Zn3Ga.

Summary:
* volume: 175.3 Å³/cell
* energy relative to the elements: -0.27 eV per atom

Geometry as extended XYZ:
```
8
Lattice="-2.6709 -2.9406 1.9708 2.3159 -3.3187 -1.8133 5.5597 3.0035 7.0272" Properties=species:S:1:pos:R:3 pbc="T T T"
Zn 1.1580 -1.6594 -0.9066
Zn 1.3563 -1.5335 4.5391
Zn 3.8485 -1.7224 2.6457
Ga -1.3354 -1.4703 0.9854
Ce 4.0399 -0.0952 5.3331
Ce 1.1648 -3.1607 1.8517
Ce 1.3431 -0.0322 1.7722
Ce 3.8617 -3.2237 5.4126
```

20.
A plane-wave DFT calculation with PBE was carried out for an optimized crystal structure of Ce2Zn5Ga.

Summary:
* volume: 316.0 Å³/cell
* energy relative to the elements: -0.35 eV per atom

Geometry as extended XYZ:
```
16
Lattice="4.4262 0.0000 0.0000 -2.2131 8.0630 0.0000 0.0000 0.0000 8.8549" Properties=species:S:1:pos:R:3 pbc="T T T"
Ce 2.2131 4.7463 6.6412
Ce 0.0000 3.3166 2.2137
Ce 0.0000 0.0000 0.0000
Ce 0.0000 0.0000 4.4275
Zn 0.0000 3.0023 7.9141
Zn 2.2131 5.0606 0.9408
Zn 0.0000 3.0023 5.3683
Zn 2.2131 5.0606 3.4867
Zn 0.0000 5.6175 8.6607
Zn 2.2131 2.4454 0.1942
Zn 0.0000 5.6175 4.6217
Zn 2.2131 2.4454 4.2332
Zn 2.2131 1.5637 6.6412
Zn 0.0000 6.4993 2.2137
Ga 0.0000 7.1280 6.6412
Ga 2.2131 0.9350 2.2137
```